## Ce2AlAs (PBE)

Data for a relaxed structure of Ce2AlAs.

Results
For the spin magnetization, the calculation gives 0.6256 μB per atom. The calculated total energy is -5.23 eV per atom. The calculated volume is 31.1 A^3/atom. As for the formation energy from the elements: -62 kJ/mol of formula units.

a = 3.777 Å, b = 3.777 Å, c = 10.316 Å
α = 79.45°, β = 79.45°, γ = 60.00°
Positions (direct):
As 0.500 0.500 0.500
Al 0.000 0.000 0.000
Ce 0.105 0.105 0.684
Ce 0.895 0.895 0.316